Entry from Alexandria: a geometry-optimized VReO3 structure (PBE with a Hubbard U).

abc: 3.868 3.868 3.868
angles: 90.00 90.00 90.00
Fractional coordinates of all 5 atoms:
1 Re 0.500 0.500 0.500
2 O 0.000 0.500 0.000
3 O 0.000 0.000 0.500
4 O 0.500 0.000 0.000
5 V 0.000 0.000 0.000

## Properties
theoretical density = 8.184 g/cm³
volume = 58 Å³/cell
VASP energy = -36.44 eV for the cell shown